KCd2Fe: relaxed, PBEsol.

Calculated values
Mass density, g cm⁻³: 5.90
Energy of formation, eV per atom: 0.69

Cell: 5.010 5.010 7.173 Å, 90.00 90.00 90.00°
Space group I4/mmm (No. 139)
Inequivalent atoms, fractional coordinates:
K1 0.000 0.000 0.000 (multiplicity 2)
Cd1 0.000 0.500 0.250 (multiplicity 4)
Fe1 0.000 0.000 0.500 (multiplicity 2)